First-principles (PBE-GGA) data for a geometry-optimized PaRhAuO6 structure, as listed in Alexandria via LeMat-Bulk.

a b c (Å): 5.4155 5.4155 9.3143
angles (deg): 90.00 90.00 120.00
Space group P-31c (No. 163)
Asymmetric unit:
Pa1 0.3333 0.6667 0.2500 [2 per cell]
Rh1 0.3333 0.6667 0.7500 [2 per cell]
Au1 0.0000 0.0000 0.0000 [2 per cell]
O1 0.0193 0.3555 0.6303 [12 per cell]

## Properties
calculated density = 8.8 Mg/m³
final energy = -7.020 eV per atom
formation energy without anion corrections = -13.31 eV per formula unit